# 1
First-principles (PBE-GGA) data for a relaxed structure of SnGeBr4, as listed in the Alexandria database.

The space group is P2/m (No. 10) and the conventional cell measures 7.067, 4.203 and 7.353 Å, with angles of 90.00, 94.31 and 90.00 degrees. The distinct sites, in fractional coordinates, are Sn at (0.000, 0.000, 0.000), Ge at (0.000, 0.500, 0.500), Br at (0.227, 0.000, 0.668) and Br at (0.237, 0.500, 0.203).

Its density of states at the Fermi level is 0.00 states/eV/cell. The calculation puts the formation energy without anion corrections at -651 meV/atom. The calculation puts the relative energy among the computed polymorphs at 0 meV/atom.

***

# 2
First-principles (PBE-GGA) data for a relaxed structure of Mg2Cu2Cl, as listed in the Alexandria database.

The space group is P4/mbm (No. 127) and the conventional cell measures 7.606, 7.606 and 3.123 Å, with angles of 90.00, 90.00 and 90.00 degrees. The distinct sites, in fractional coordinates, are Mg at (0.182, 0.318, 0.000), Cu at (0.112, 0.612, 0.500) and Cl at (0.000, 0.000, 0.500).

Its density of states at the Fermi level is 3.32 states/eV/cell. The calculation puts the formation energy without anion corrections at -108 meV/atom. The calculation puts the relative energy among the computed polymorphs at 0 meV/atom.

***

# 3
First-principles (PBE-GGA) data for a relaxed structure of SmTaO4, as listed in the Alexandria database.

The space group is P2/c (No. 13) and the conventional cell measures 5.233, 5.607 and 5.426 Å, with angles of 90.00, 96.74 and 90.00 degrees. The distinct sites, in fractional coordinates, are Sm at (0.000, 0.235, 0.250), Ta at (0.500, 0.311, 0.750), O at (0.253, 0.091, 0.607) and O at (0.273, 0.437, 0.993).

Its density of states at the Fermi level is 0.00 states/eV/cell. The calculation puts the formation energy without anion corrections at -3237 meV/atom.

***

# 4
First-principles (PBE-GGA) data for a relaxed structure of In2GaBr3, as listed in the Alexandria database.

The space group is Cmc2_1 (No. 36) and the conventional cell measures 13.161, 11.483 and 6.421 Å, with angles of 90.00, 90.00 and 90.00 degrees. The distinct sites, in fractional coordinates, are In at (0.153, 0.143, 0.000), Ga at (0.000, 0.361, 0.506), Br at (0.000, 0.348, 0.997) and Br at (0.166, 0.190, 0.500).

Its density of states at the Fermi level is 0.00 states/eV/cell. The calculation puts the formation energy without anion corrections at -575 meV/atom. The calculation puts the relative energy among the computed polymorphs at 28 meV/atom.

***

# 5
First-principles (PBE-GGA) data for a relaxed structure of Os3RuN, as listed in the Alexandria database.

The space group is Pm-3m (No. 221) and the conventional cell measures 4.649, 4.649 and 4.649 Å, with angles of 90.00, 90.00 and 90.00 degrees. The distinct sites, in fractional coordinates, are Os at (0.000, 0.000, 0.500), Ru at (0.000, 0.000, 0.000) and N at (0.500, 0.500, 0.500).

Its density of states at the Fermi level is 7.78 states/eV/cell. The calculation puts the formation energy without anion corrections at 3592 meV/atom. The calculation puts the relative energy among the computed polymorphs at 2904 meV/atom.

***

# 6
First-principles (PBE-GGA) data for a relaxed structure of CuIrRh4, as listed in the Alexandria database.

The space group is C2/m (No. 12) and the conventional cell measures 8.574, 3.823 and 5.407 Å, with angles of 90.00, 108.42 and 90.00 degrees. The distinct sites, in fractional coordinates, are Cu at (0.000, 0.000, 0.000), Ir at (0.000, 0.000, 0.500), Rh at (0.166, 0.500, 0.835) and Rh at (0.168, 0.500, 0.335).

Its density of states at the Fermi level is 20.25 states/eV/cell. The energy of formation comes out at 0.063 eV/atom. The calculation puts the relative energy among the computed polymorphs at 28 meV/atom.

***

# 7
First-principles (PBE-GGA) data for a relaxed structure of Cs3MgAg2Cl6, as listed in the Alexandria database.

The space group is P-3m1 (No. 164) and the conventional cell measures 7.5518, 7.5518 and 8.6601 Å, with angles of 90.00, 90.00 and 120.00 degrees. The distinct sites, in fractional coordinates, are Cs at (0.0000, 0.0000, 0.0000), Cs at (0.3333, 0.6667, 0.6435), Mg at (0.0000, 0.0000, 0.5000), Ag at (0.3333, 0.6667, 0.1737) and Cl at (0.1570, 0.3140, 0.3249).

Its density of states at the Fermi level is 2.97 states/eV/cell. The calculation puts the formation energy without anion corrections at -1317 meV/atom.

***

# 8
First-principles (PBE-GGA) data for a relaxed structure of Cr2HgIr, as listed in the Alexandria database.

The space group is I-42d (No. 122) and the conventional cell measures 7.058, 7.058 and 5.334 Å, with angles of 90.00, 90.00 and 90.00 degrees. The distinct sites, in fractional coordinates, are Cr at (0.200, 0.250, 0.125), Hg at (0.000, 0.000, 0.500) and Ir at (0.000, 0.000, 0.000).

Its density of states at the Fermi level is 25.75 states/eV/cell. The energy of formation comes out at 0.848 eV/atom.

***

# 9
First-principles (PBE-GGA) data for a relaxed structure of LiZnRe2, as listed in the Alexandria database.

The space group is P2/m (No. 10) and the conventional cell measures 2.599, 4.480 and 5.017 Å, with angles of 90.00, 99.84 and 90.00 degrees. The distinct sites, in fractional coordinates, are Li at (0.000, 0.000, 0.000), Zn at (0.500, 0.000, 0.500) and Re at (0.279, 0.500, 0.758).

Its density of states at the Fermi level is 2.82 states/eV/cell. The energy of formation comes out at 0.261 eV/atom.

***

# 10
First-principles (PBE-GGA) data for a relaxed structure of CuPbO2, as listed in the Alexandria database.

The space group is I-42d (No. 122) and the conventional cell measures 4.931, 4.931 and 10.516 Å, with angles of 90.00, 90.00 and 90.00 degrees. The distinct sites, in fractional coordinates, are Cu at (0.000, 0.000, 0.000), Pb at (0.000, 0.000, 0.500) and O at (0.182, 0.250, 0.125).

Its density of states at the Fermi level is 8.93 states/eV/cell. The calculation puts the formation energy without anion corrections at -627 meV/atom.

***

# 11
First-principles (PBE-GGA) data for a relaxed structure of Ni5SnPt6, as listed in the Alexandria database.

The space group is Immm (No. 71) and the conventional cell measures 3.929, 7.369 and 11.752 Å, with angles of 90.00, 90.00 and 90.00 degrees. The distinct sites, in fractional coordinates, are Ni at (0.000, 0.000, 0.000), Ni at (0.000, 0.000, 0.332), Ni at (0.000, 0.500, 0.330), Sn at (0.000, 0.500, 0.000), Pt at (0.000, 0.243, 0.170) and Pt at (0.000, 0.266, 0.500).

Its density of states at the Fermi level is 38.05 states/eV/cell. The energy of formation comes out at -0.162 eV/atom.

***

# 12
First-principles (PBE-GGA) data for a relaxed structure of Ti2CoNi8, as listed in the Alexandria database.

The space group is C2/m (No. 12) and the conventional cell measures 12.904, 3.608 and 5.774 Å, with angles of 90.00, 107.05 and 90.00 degrees. The distinct sites, in fractional coordinates, are Ti at (0.220, 0.000, 0.161), Co at (0.000, 0.500, 0.500), Ni at (0.040, 0.000, 0.229), Ni at (0.091, 0.500, 0.944), Ni at (0.138, 0.000, 0.681) and Ni at (0.174, 0.500, 0.404).

Its density of states at the Fermi level is 23.40 states/eV/cell. The energy of formation comes out at -0.210 eV/atom.